Below is an optimized crystal structure of Li2Ni2SbO6, with properties calculated at the PBEsol level.

Values from the calculation:
Raw formation energy (eV/atom): -1.34
Space-group type: C222_1 (20)

Unit cell a=5.124 b=5.124 c=9.880 alpha=90.00 beta=90.00 gamma=119.02
Each line ends with the local moment (μB).
Atoms (fractional coordinates):
O1 0.102 0.571 0.651  0.09
O2 0.571 0.102 0.349  0.09
O3 0.728 0.568 0.856  0.07
O4 0.429 0.898 0.849  0.09
O5 0.568 0.728 0.144  0.07
O6 0.898 0.429 0.151  0.09
O7 0.925 0.775 0.364  0.17
O8 0.432 0.272 0.644  0.07
O9 0.075 0.225 0.864  0.17
O10 0.225 0.075 0.136  0.17
O11 0.272 0.432 0.356  0.07
O12 0.775 0.925 0.636  0.17
Ni1 0.092 0.908 0.750  1.46
Ni2 0.908 0.092 0.250  1.46
Ni3 0.578 0.422 0.250  0.75
Ni4 0.422 0.578 0.750  0.75
Sb1 0.759 0.241 0.750  -0.01
Sb2 0.241 0.759 0.250  -0.01
Li1 0.889 0.889 0.000  0.00
Li2 0.391 0.391 0.000  0.00
Li3 0.111 0.111 0.500  0.00
Li4 0.609 0.609 0.500  0.00